Below is a relaxed NaSmIr crystal, with properties calculated at the PBE level.

Calculated values
* total DFT energy (no corrections): -13.83 eV/f.u.
* space-group type: F-43m
* calculated density: 8.02 g/cm³
* M_tot: 0.00 μB per formula unit

Cell lengths 4.748, 4.748, 4.748 Å; angles 60.00, 60.00, 60.00 degrees
Atoms (fractional coordinates):
Na1 0.000 0.000 0.000
Sm1 0.750 0.750 0.750
Ir1 0.500 0.500 0.500